a:
The following is a DFT calculation (PBE-GGA) of a relaxed NaLiS2 crystal.

Lattice parameters (Å, degrees): 3.2530 3.2530 25.6962 90.00 90.00 120.00
Last column: nearest neighbours and their distance in Å.
Space group R-3m (No. 166, hexagonal axes)
Inequivalent atoms, fractional coordinates:
Na: 0.0000 0.0000 0.0000 [3 per cell]  2 S 2.55
Li: 0.0000 0.0000 0.5000 [3 per cell]  6 S 2.56
S: 0.0000 0.0000 0.0991 [6 per cell]  1 Na 2.55, 3 Li 2.56



b:
The following is a DFT calculation (PBE-GGA) of a relaxed NaLiS2 crystal.

Lattice parameters (Å, degrees): 4.7635 4.7635 15.4353 90.00 90.00 90.00
Last column: nearest neighbours and their distance in Å.
Space group I-42d (No. 122)
Inequivalent atoms, fractional coordinates:
Na: 0.0000 0.0000 0.0000 [4 per cell]  4 S 3.06, 4 Li 3.37
Li: 0.0000 0.0000 0.5000 [4 per cell]  4 S 2.29
S: 0.0676 0.2500 0.6250 [8 per cell]  2 Li 2.29, 2 S 2.47



c:
The following is a DFT calculation (PBE-GGA) of a relaxed NaLiS2 crystal.

Lattice parameters (Å, degrees): 3.3353 3.3353 25.8073 90.00 90.00 120.00
Last column: nearest neighbours and their distance in Å.
Space group R-3m (No. 166, hexagonal axes)
Inequivalent atoms, fractional coordinates:
Na: 0.0000 0.0000 0.0000 [3 per cell]  6 S 2.82
Li: 0.0000 0.0000 0.5000 [3 per cell]  2 S 2.25
S: 0.0000 0.0000 0.4130 [6 per cell]  1 Li 2.25



d:
The following is a DFT calculation (PBE-GGA) of a relaxed NaLiS2 crystal.

Lattice parameters (Å, degrees): 6.5361 6.5361 6.5361 90.00 90.00 90.00
Last column: nearest neighbours and their distance in Å.
Space group Fm-3m (No. 225)
Inequivalent atoms, fractional coordinates:
Na: 0.0000 0.0000 0.0000 [4 per cell]  8 S 2.83
Li: 0.0000 0.0000 0.5000 [4 per cell]  8 S 2.83
S: 0.2500 0.2500 0.2500 [8 per cell]  4 Na 2.83, 4 Li 2.83



Energy relative to the most stable one, in kJ/mol of atoms: a 47.1; b 0.0; c 45.1; d 25.8



a:
The following is a DFT calculation (PBE-GGA) of a relaxed Na2LiS2 crystal.

Lattice parameters (Å, degrees): 8.4821 8.4821 15.6259 90.00 90.00 90.00
Last column: nearest neighbours and their distance in Å.
Space group P4/mmm (No. 123)
Inequivalent atoms, fractional coordinates:
Na: 0.0000 0.0000 0.2005 [2 per cell]  1 S 2.43
Li: 0.0000 0.0000 0.5000 [1 per cell]  2 S 2.25
S: 0.0000 0.0000 0.3558 [2 per cell]  1 Li 2.25, 1 Na 2.43



b:
The following is a DFT calculation (PBE-GGA) of a relaxed Na2LiS2 crystal.

Lattice parameters (Å, degrees): 6.9513 6.9513 4.1176 90.00 90.00 90.00
Last column: nearest neighbours and their distance in Å.
Space group P4/mbm (No. 127)
Inequivalent atoms, fractional coordinates:
Na: 0.1481 0.3519 0.0000 [4 per cell]  6 S 2.81-2.96, 1 Na 2.91
Li: 0.0000 0.0000 0.5000 [2 per cell]  4 S 2.62
S: 0.1568 0.6568 0.5000 [4 per cell]  2 Li 2.62, 2 Na 2.81



Energy relative to the most stable one, in kJ/mol of atoms: a 91.1; b 0.0



a:
The following is a DFT calculation (PBE-GGA) of a relaxed NaLi2S2 crystal.

Lattice parameters (Å, degrees): 7.3866 7.3866 2.9255 90.00 90.00 90.00
Last column: nearest neighbours and their distance in Å.
Space group P4/mbm (No. 127)
Inequivalent atoms, fractional coordinates:
Na: 0.0000 0.0000 0.0000 [2 per cell]  2 Na 2.93, 4 Li 2.93, 8 S 3.09
Li: 0.1227 0.3773 0.0000 [4 per cell]  1 Li 2.56, 6 S 2.57-2.67
S: 0.1755 0.6755 0.5000 [4 per cell]  6 Li 2.57-2.67



b:
The following is a DFT calculation (PBE-GGA) of a relaxed NaLi2S2 crystal.

Lattice parameters (Å, degrees): 4.6940 4.6940 8.9095 90.00 90.00 90.00
Last column: nearest neighbours and their distance in Å.
Space group I4/mmm (No. 139)
Inequivalent atoms, fractional coordinates:
Na: 0.0000 0.0000 0.0000 [2 per cell]  2 Li 2.83
Li: 0.0000 0.0000 0.3181 [4 per cell]  4 S 2.42
S: 0.0000 0.5000 0.2500 [4 per cell]  4 Li 2.42



Energy relative to the most stable one, in kJ/mol of atoms: a 0.0; b 12.4



a:
The following is a DFT calculation (PBE-GGA) of a relaxed NaLiSbS2 crystal.

Lattice parameters (Å, degrees): 5.3334 5.3334 5.3710 90.00 90.00 90.00
Last column: nearest neighbours and their distance in Å.
Space group P4/mmm (No. 123)
Inequivalent atoms, fractional coordinates:
Na: 0.0000 0.0000 0.0000 [1 per cell]  2 Sb 2.69
Li: 0.5000 0.5000 0.0000 [1 per cell]  4 Na 3.77, 8 S 3.78
Sb: 0.0000 0.0000 0.5000 [1 per cell]  4 S 2.67, 2 Na 2.69
S: 0.0000 0.5000 0.5000 [2 per cell]  2 Sb 2.67



b:
The following is a DFT calculation (PBE-GGA) of a relaxed NaLiSbS2 crystal.

Lattice parameters (Å, degrees): 4.2604 3.8635 7.4270 90.00 104.68 90.00
Last column: nearest neighbours and their distance in Å.
Space group P2/m (No. 10)
Inequivalent atoms, fractional coordinates:
Na: 0.0000 0.0000 0.0000 [1 per cell]  4 S 2.83
Li: 0.0000 0.0000 0.5000 [1 per cell]  4 S 2.61, 4 Sb 2.88
Sb: 0.5000 0.5000 0.5000 [1 per cell]  4 S 2.75-2.76, 4 Li 2.88
S: 0.1091 0.5000 0.7438 [2 per cell]  2 Li 2.61, 2 Sb 2.75-2.76, 2 Na 2.83



Energy relative to the most stable one, in kJ/mol of atoms: a 64.0; b 0.0



a:
The following is a DFT calculation (PBE-GGA) of a relaxed Na2Li5Sb2 crystal.

Lattice parameters (Å, degrees): 18.3389 5.2170 4.7258 90.00 104.92 90.00
Last column: nearest neighbours and their distance in Å.
Space group C2/m (No. 12)
Inequivalent atoms, fractional coordinates:
Na: 0.1400 0.0000 0.1415 [4 per cell]  4 Li 2.79-3.05
Li: 0.0000 0.5000 0.5000 [2 per cell]  4 Li 2.80, 2 Sb 2.81
Li: 0.0848 0.5000 0.0845 [4 per cell]  2 Sb 2.70, 2 Na 2.79, 4 Li 2.80-3.01
Li: 0.2483 0.0000 0.7492 [4 per cell]  4 Sb 2.88-3.06, 1 Li 2.96, 2 Na 3.04-3.05
Sb: 0.1586 0.5000 0.6583 [4 per cell]  5 Li 2.70-2.88



b:
The following is a DFT calculation (PBE-GGA) of a relaxed Na2Li5Sb2 crystal.

Lattice parameters (Å, degrees): 8.7057 4.9091 8.5124 90.00 90.00 90.00
Last column: nearest neighbours and their distance in Å.
Space group Amm2 (No. 38)
Inequivalent atoms, fractional coordinates:
Na: 0.1731 0.0000 0.0000 [4 per cell]  4 Li 2.83-2.85, 1 Na 3.01
Li: 0.1632 0.0000 0.6675 [4 per cell]  3 Na 2.83-2.84, 1 Li 2.84, 3 Sb 2.93-3.16
Li: 0.3397 0.0000 0.3343 [4 per cell]  1 Li 2.79, 1 Sb 2.96
Li: 0.5000 0.0000 0.0033 [2 per cell]  3 Sb 2.84, 2 Na 2.85, 6 Li 3.14-3.17
Sb: 0.0000 0.0000 0.3325 [2 per cell]  8 Li 2.96-3.19, 6 Na 3.21
Sb: 0.5000 0.0000 0.6701 [2 per cell]  9 Li 2.84-3.15



Energy relative to the most stable one, in kJ/mol of atoms: a 5.2; b 0.0



a:
The following is a DFT calculation (PBE-GGA) of a relaxed Na2Li2Sb crystal.

Lattice parameters (Å, degrees): 7.0466 7.0466 5.1455 90.00 90.00 90.00
Last column: nearest neighbours and their distance in Å.
Space group P4/mbm (No. 127)
Inequivalent atoms, fractional coordinates:
Na: 0.1889 0.3111 0.0000 [4 per cell]  2 Li 3.04
Li: 0.1483 0.6483 0.5000 [4 per cell]  2 Sb 2.69, 1 Li 2.96
Sb: 0.0000 0.0000 0.5000 [2 per cell]  4 Li 2.69



b:
The following is a DFT calculation (PBE-GGA) of a relaxed Na2Li2Sb crystal.

Lattice parameters (Å, degrees): 7.9801 7.9801 3.9574 90.00 90.00 90.00
Last column: nearest neighbours and their distance in Å.
Space group P4/mbm (No. 127)
Inequivalent atoms, fractional coordinates:
Na: 0.1330 0.3670 0.0000 [4 per cell]  6 Li 2.93-3.18, 1 Na 3.00, 2 Sb 3.12
Li: 0.1760 0.6760 0.5000 [4 per cell]  6 Na 2.93-3.18
Sb: 0.0000 0.0000 0.0000 [2 per cell]  4 Na 3.12



Energy relative to the most stable one, in kJ/mol of atoms: a 0.0; b 22.1



a:
The following is a DFT calculation (PBE-GGA) of a relaxed NaLiSb2 crystal.

Lattice parameters (Å, degrees): 4.9940 4.9940 15.1509 90.00 90.00 120.00
Last column: nearest neighbours and their distance in Å.
Space group R3m (No. 160, hexagonal axes)
Inequivalent atoms, fractional coordinates:
Na: 0.0000 0.0000 0.0000 [3 per cell]  1 Li 3.06, 6 Sb 3.18-3.30
Li: 0.0000 0.0000 0.7979 [3 per cell]  6 Sb 2.96-3.23, 1 Na 3.06
Sb: 0.0000 0.0000 0.2280 [3 per cell]  1 Sb 2.93, 3 Li 3.23
Sb: 0.0000 0.0000 0.4213 [3 per cell]  1 Sb 2.93, 3 Li 2.96, 3 Na 3.18



b:
The following is a DFT calculation (PBE-GGA) of a relaxed NaLiSb2 crystal.

Lattice parameters (Å, degrees): 7.2694 7.2694 7.2694 90.00 90.00 90.00
Last column: nearest neighbours and their distance in Å.
Space group Fm-3m (No. 225)
Inequivalent atoms, fractional coordinates:
Na: 0.0000 0.0000 0.0000 [4 per cell]  8 Sb 3.15
Li: 0.0000 0.0000 0.5000 [4 per cell]  8 Sb 3.15
Sb: 0.2500 0.2500 0.2500 [8 per cell]  4 Na 3.15, 4 Li 3.15



Energy relative to the most stable one, in kJ/mol of atoms: a 4.5; b 0.0



a:
The following is a DFT calculation (PBE-GGA) of a relaxed NaLiSb2 crystal.

Lattice parameters (Å, degrees): 4.9127 12.5363 6.8206 90.00 90.00 90.00
Last column: nearest neighbours and their distance in Å.
Space group Cmcm (No. 63)
Inequivalent atoms, fractional coordinates:
Na: 0.0000 0.0651 0.2500 [4 per cell]  4 Sb 3.18, 1 Li 3.29
Li: 0.0000 0.1975 0.7500 [4 per cell]  6 Sb 3.01-3.05, 1 Na 3.29
Sb: 0.0000 0.3827 0.0302 [8 per cell]  2 Sb 2.97-3.00, 3 Li 3.01-3.05, 2 Na 3.18



b:
The following is a DFT calculation (PBE-GGA) of a relaxed NaLiSb2 crystal.

Lattice parameters (Å, degrees): 4.5757 4.5757 4.6363 90.00 90.00 90.00
Last column: nearest neighbours and their distance in Å.
Space group P4/mmm (No. 123)
Inequivalent atoms, fractional coordinates:
Na: 0.0000 0.0000 0.0000 [1 per cell]  4 Li 3.24, 8 Sb 3.26
Li: 0.5000 0.5000 0.0000 [1 per cell]  4 Na 3.24, 8 Sb 3.26
Sb: 0.0000 0.5000 0.5000 [2 per cell]  4 Sb 3.24, 4 Li 3.26, 4 Na 3.26



Energy relative to the most stable one, in kJ/mol of atoms: a 2.4; b 0.0



a:
The following is a DFT calculation (PBE-GGA) of a relaxed NaLiSb2 crystal.

Lattice parameters (Å, degrees): 3.8710 3.8710 6.7596 90.00 90.00 90.00
Last column: nearest neighbours and their distance in Å.
Space group P4/mmm (No. 123)
Inequivalent atoms, fractional coordinates:
Na: 0.0000 0.0000 0.0000 [1 per cell]  2 Li 3.38, 8 Sb 3.38
Li: 0.0000 0.0000 0.5000 [1 per cell]  8 Sb 3.07, 2 Na 3.38
Sb: 0.5000 0.5000 0.2934 [2 per cell]  1 Sb 2.79, 4 Li 3.07



b:
The following is a DFT calculation (PBE-GGA) of a relaxed NaLiSb2 crystal.

Lattice parameters (Å, degrees): 4.7598 4.7598 19.7364 90.00 90.00 90.00
Last column: nearest neighbours and their distance in Å.
Space group I-42d (No. 122)
Inequivalent atoms, fractional coordinates:
Na: 0.0000 0.0000 0.0000 [4 per cell]  4 Sb 3.11, 4 Li 3.37
Li: 0.0000 0.0000 0.5000 [4 per cell]  4 Sb 2.89
Sb: 0.1905 0.2500 0.6250 [8 per cell]  2 Li 2.89, 2 Sb 2.99, 2 Na 3.11



Energy relative to the most stable one, in kJ/mol of atoms: a 0.0; b 3.8



a:
The following is a DFT calculation (PBE-GGA) of a relaxed NaLiSbTe2 crystal.

Lattice parameters (Å, degrees): 5.6463 5.6463 5.3794 90.00 90.00 90.00
Last column: nearest neighbours and their distance in Å.
Space group P4/mmm (No. 123)
Inequivalent atoms, fractional coordinates:
Na: 0.0000 0.0000 0.0000 [1 per cell]  2 Sb 2.69, 4 Te 2.82
Li: 0.5000 0.5000 0.5000 [1 per cell]  8 Te 3.90, 4 Sb 3.99
Sb: 0.0000 0.0000 0.5000 [1 per cell]  2 Na 2.69
Te: 0.0000 0.5000 0.0000 [2 per cell]  2 Na 2.82



b:
The following is a DFT calculation (PBE-GGA) of a relaxed NaLiSbTe2 crystal.

Lattice parameters (Å, degrees): 5.3816 5.3816 4.9463 90.00 90.00 90.00
Last column: nearest neighbours and their distance in Å.
Space group P4/mmm (No. 123)
Inequivalent atoms, fractional coordinates:
Na: 0.0000 0.0000 0.0000 [1 per cell]  8 Te 3.65, 4 Sb 3.81
Li: 0.5000 0.5000 0.5000 [1 per cell]  2 Sb 2.47, 4 Te 2.69
Sb: 0.5000 0.5000 0.0000 [1 per cell]  2 Li 2.47
Te: 0.0000 0.5000 0.5000 [2 per cell]  2 Li 2.69



Energy relative to the most stable one, in kJ/mol of atoms: a 40.3; b 0.0



a:
The following is a DFT calculation (PBE-GGA) of a relaxed NaLi3Se crystal.

Lattice parameters (Å, degrees): 4.8971 4.8971 4.8971 90.00 90.00 90.00
Last column: nearest neighbours and their distance in Å.
Space group Pm-3m (No. 221)
Inequivalent atoms, fractional coordinates:
Na: 0.0000 0.0000 0.0000 [1 per cell]  6 Li 2.45
Li: 0.0000 0.0000 0.5000 [3 per cell]  2 Na 2.45
Se: 0.5000 0.5000 0.5000 [1 per cell]  12 Li 3.46



b:
The following is a DFT calculation (PBE-GGA) of a relaxed NaLi3Se crystal.

Lattice parameters (Å, degrees): 4.9945 4.9945 4.9945 90.00 90.00 90.00
Last column: nearest neighbours and their distance in Å.
Space group Pm-3m (No. 221)
Inequivalent atoms, fractional coordinates:
Na: 0.0000 0.0000 0.0000 [1 per cell]  12 Li 3.53
Li: 0.0000 0.5000 0.5000 [3 per cell]  2 Se 2.50
Se: 0.5000 0.5000 0.5000 [1 per cell]  6 Li 2.50



Energy relative to the most stable one, in kJ/mol of atoms: a 67.2; b 0.0



a:
The following is a DFT calculation (PBE-GGA) of a relaxed Na2Li2Se crystal.

Lattice parameters (Å, degrees): 7.2801 7.2801 4.9576 90.00 90.00 90.00
Last column: nearest neighbours and their distance in Å.
Space group P4/mbm (No. 127)
Inequivalent atoms, fractional coordinates:
Na: 0.1467 0.3533 0.0000 [4 per cell]  2 Se 2.79, 1 Na 3.02, 2 Li 3.10
Li: 0.1732 0.6732 0.5000 [4 per cell]  6 Na 3.10-3.41
Se: 0.0000 0.0000 0.0000 [2 per cell]  4 Na 2.79



b:
The following is a DFT calculation (PBE-GGA) of a relaxed Na2Li2Se crystal.

Lattice parameters (Å, degrees): 6.7435 6.7435 5.2953 90.00 90.00 90.00
Last column: nearest neighbours and their distance in Å.
Space group P4/mbm (No. 127)
Inequivalent atoms, fractional coordinates:
Na: 0.1809 0.3191 0.0000 [4 per cell]  2 Li 3.06
Li: 0.1577 0.6577 0.5000 [4 per cell]  2 Se 2.54
Se: 0.0000 0.0000 0.5000 [2 per cell]  4 Li 2.54



Energy relative to the most stable one, in kJ/mol of atoms: a 20.4; b 0.0